! Mg2CrPbSe GGA-PBE relaxed; values from VASP
! SG	P4/mmm, No. 123
! ρ	5.29	g/cm3
! energy	-0.1343	hartree per atom
! magnetization	0.0	μB per cell
! ΔE_f (raw)	0.347	eV/atom
&SYSTEM
  ibrav = 0, nat = 5, ntyp = 4
/
ATOMIC_SPECIES
Pb 207.20 Pb.upf
Cr 52.00 Cr.upf
Mg 24.30 Mg.upf
Se 78.96 Se.upf
CELL_PARAMETERS angstrom
5.229 0.000 0.000
0.000 4.439 0.000
0.000 0.000 5.229
ATOMIC_POSITIONS crystal
Pb 0.500 0.500 0.500
Cr 0.000 0.000 0.000
Mg 0.000 0.000 0.500
Mg 0.500 0.000 0.000
Se 0.000 0.500 0.000